# 1
Rb2PdCl | PBE-GGA | relaxed

POSCAR file:
```
Rb2PdCl
1.0
-4.2545 4.2545 4.7391
4.2545 -4.2545 4.7391
4.2545 4.2545 -4.7391
Rb Pd Cl
4 2 2
Direct
0.1124 0.1250 0.4874
0.3750 0.8876 0.0126
0.6376 0.6250 0.5126
0.8750 0.3624 0.9874
0.2500 0.7500 0.5000
0.5000 0.5000 0.0000
0.0000 0.0000 0.0000
0.7500 0.2500 0.5000
```

Summary:
- Energy relative to the elements, uncorrected: -520 meV/atom
- Excess energy over the best structure of this formula in the dataset: 0.000 eV per atom


# 2
SrBr2N | PBE-GGA | relaxed

POSCAR file:
```
SrBr2N
1.0
4.6280 0.0000 0.0000
-0.0002 8.0054 0.0000
-0.0002 -2.7468 8.1457
Sr Br N
2 4 2
Direct
0.2496 0.2502 0.0004
0.7504 0.7498 0.9996
0.2503 0.5177 0.8091
0.2503 0.9816 0.1905
0.7497 0.0184 0.8095
0.7497 0.4823 0.1909
0.2492 0.7508 0.5008
0.7508 0.2492 0.4992
```

Summary:
- Energy relative to the elements, uncorrected: -292 meV/atom
- Excess energy over the best structure of this formula in the dataset: 0.000 eV per atom


# 3
DyEr2S3 | PBE-GGA | relaxed

POSCAR file:
```
DyEr2S3
1.0
-1.9444 2.7369 5.8075
1.9444 -2.7369 5.8075
1.9444 2.7369 -5.8075
Dy Er S
1 2 3
Direct
0.0000 0.0000 0.0000
0.3348 0.3348 0.0000
0.6652 0.6652 0.0000
0.1691 0.6691 0.5000
0.5000 0.0000 0.5000
0.8309 0.3309 0.5000
```

Summary:
- Energy relative to the elements, uncorrected: -1965 meV/atom


# 4
Na2CeZn9 | PBE-GGA | relaxed

POSCAR file:
```
Na2CeZn9
1.0
2.6916 1.5540 8.7219
-2.6916 1.5540 8.7219
0.0000 -3.1080 8.7219
Na Ce Zn
2 1 9
Direct
0.1441 0.1441 0.1441
0.8559 0.8559 0.8559
0.0000 0.0000 0.0000
0.0797 0.5845 0.5845
0.3343 0.3343 0.3343
0.4155 0.4155 0.9203
0.4155 0.9203 0.4155
0.5000 0.5000 0.5000
0.5845 0.0797 0.5845
0.5845 0.5845 0.0797
0.6657 0.6657 0.6657
0.9203 0.4155 0.4155
```

Summary:
- Formation enthalpy at 0 K: -0.11 eV/atom


# 5
BeVCrPd2 | PBE-GGA | relaxed

POSCAR file:
```
BeVCrPd2
1.0
4.0435 0.0000 0.0000
0.0000 4.0435 0.0000
0.0000 0.0000 4.1824
Be V Cr Pd
1 1 1 2
Direct
0.0000 0.0000 0.0000
0.5000 0.5000 0.5000
0.0000 0.0000 0.5000
0.0000 0.5000 0.0000
0.5000 0.0000 0.0000
```

Summary:
- Formation enthalpy at 0 K: 0.42 eV/atom


Respective M_tot values: 0.000; 5.936; 0.000; 0.973; 0.000 μB/cell.